[1]
First-principles (GGA-PBE) data for SmTa3N6 after structural relaxation, as listed in Alexandria via LeMat-Bulk.

Cell: 3.185 8.986 8.617 Å, 107.47 90.00 90.00°
Fractional positions:
N1 0.750 0.453 0.146
N2 0.750 0.598 0.477
N3 0.250 0.910 0.074
N4 0.250 0.226 0.243
N5 0.250 0.402 0.523
N6 0.750 0.265 0.687
N7 0.250 0.968 0.615
N8 0.250 0.735 0.313
N9 0.750 0.774 0.757
N10 0.250 0.547 0.854
N11 0.750 0.090 0.926
N12 0.750 0.032 0.385
Ta1 0.250 0.172 0.511
Ta2 0.750 0.507 0.678
Ta3 0.750 0.086 0.164
Ta4 0.250 0.493 0.322
Ta5 0.750 0.828 0.489
Ta6 0.250 0.914 0.836
Sm1 0.750 0.699 0.076
Sm2 0.250 0.301 0.924

Properties
Spin magnetization (μB per formula unit): 0.00
Formation energy without anion corrections (meV per atom): -1116

[2]
First-principles (GGA-PBE) data for SmTaN3 after structural relaxation, as listed in Alexandria via LeMat-Bulk.

Cell: 4.203 4.574 6.330 Å, 90.00 90.00 90.00°
Fractional positions:
N1 0.500 0.250 0.378
N2 0.500 0.500 0.000
N3 0.000 0.750 0.275
N4 0.500 0.000 0.000
N5 0.000 0.250 0.725
N6 0.500 0.750 0.622
Ta1 0.500 0.750 0.298
Ta2 0.500 0.250 0.702
Sm1 0.000 0.750 0.824
Sm2 0.000 0.250 0.176

Properties
Spin magnetization (μB per formula unit): 0.00
Fermi-level density of states (states/eV/cell): 2.506
Formation energy without anion corrections (meV per atom): -921

[3]
First-principles (GGA-PBE) data for Sm3Ta5N12 after structural relaxation, as listed in Alexandria via LeMat-Bulk.

Cell: 11.334 11.334 11.334 Å, 109.47 109.47 109.47°
Fractional positions:
N1 0.821 0.904 0.022
N2 0.978 0.596 0.179
N3 0.201 0.522 0.618
N4 0.978 0.382 0.299
N5 0.118 0.417 0.096
N6 0.478 0.799 0.882
N7 0.096 0.917 0.118
N8 0.522 0.321 0.904
N9 0.701 0.583 0.179
N10 0.583 0.882 0.404
N11 0.022 0.618 0.701
N12 0.118 0.701 0.522
N13 0.618 0.022 0.201
N14 0.596 0.978 0.679
N15 0.882 0.299 0.478
N16 0.179 0.096 0.978
N17 0.299 0.882 0.978
N18 0.821 0.917 0.299
N19 0.404 0.022 0.321
N20 0.679 0.201 0.583
N21 0.417 0.299 0.321
N22 0.083 0.179 0.201
N23 0.904 0.821 0.522
N24 0.917 0.821 0.799
N25 0.382 0.404 0.083
N26 0.799 0.321 0.917
N27 0.321 0.799 0.417
N28 0.096 0.179 0.478
N29 0.404 0.382 0.583
N30 0.618 0.596 0.917
N31 0.522 0.201 0.118
N32 0.201 0.679 0.083
N33 0.701 0.118 0.022
N34 0.596 0.618 0.417
N35 0.882 0.583 0.904
N36 0.478 0.679 0.096
N37 0.321 0.522 0.404
N38 0.799 0.478 0.382
N39 0.417 0.118 0.596
N40 0.022 0.404 0.821
N41 0.917 0.096 0.618
N42 0.083 0.904 0.382
N43 0.179 0.083 0.701
N44 0.382 0.978 0.799
N45 0.679 0.478 0.596
N46 0.904 0.083 0.882
N47 0.583 0.701 0.679
N48 0.299 0.417 0.821
Ta1 0.000 0.000 0.500
Ta2 0.875 0.625 0.750
Ta3 0.375 0.250 0.125
Ta4 0.500 0.000 0.000
Ta5 0.500 0.500 0.500
Ta6 0.750 0.625 0.375
Ta7 0.000 0.000 0.000
Ta8 0.500 0.000 0.500
Ta9 0.625 0.750 0.875
Ta10 0.250 0.875 0.125
Ta11 0.875 0.250 0.625
Ta12 0.125 0.750 0.375
Ta13 0.750 0.125 0.875
Ta14 0.500 0.500 0.000
Ta15 0.375 0.125 0.750
Ta16 0.000 0.500 0.500
Ta17 0.625 0.875 0.250
Ta18 0.125 0.375 0.250
Ta19 0.000 0.500 0.000
Ta20 0.250 0.375 0.625
Sm1 0.125 0.875 0.750
Sm2 0.375 0.625 0.250
Sm3 0.625 0.250 0.375
Sm4 0.750 0.875 0.625
Sm5 0.875 0.750 0.125
Sm6 0.125 0.250 0.875
Sm7 0.250 0.625 0.875
Sm8 0.875 0.125 0.250
Sm9 0.375 0.750 0.625
Sm10 0.250 0.125 0.375
Sm11 0.750 0.375 0.125
Sm12 0.625 0.375 0.750

Properties
Spin magnetization (μB per formula unit): 0.59
Fermi-level density of states (states/eV/cell): 68.097
Formation energy without anion corrections (meV per atom): -1082

Question: What is the spin magnetization in the first record?
Answer: 0.00 μB per formula unit